Entry from the Alexandria database: a geometry-optimized CsK2Os structure (GGA-PBE).

Cell lengths 5.9510, 5.9510, 5.9510 Å; angles 60.00, 60.00, 60.00 degrees
Last column: magnetic moment on the atom in μB.
Fractional positions:
Cs 0.0000 0.0000 0.0000  -0.04
Os 0.5000 0.5000 0.5000  1.52
K 0.2500 0.2500 0.2500  -0.02
K 0.7500 0.7500 0.7500  -0.02

**Total moment**: 1.20 Bohr magnetons per cell
**DFT total energy**: -2.20 eV/atom
**Calculated formation energy**: 1.37 eV/atom
**Space-group type**: No. 225